# 1
Here is a relaxed structure of Ga2MoRh2 from Alexandria via LeMat-Bulk. Energies are from PBE.

For the energy of formation from the pure elements, the calculation gives -0.317 eV/atom. For the energy relative to the lowest polymorph listed for this composition, the calculation gives 0.0 kJ per mole of atoms. As for the volume: 147 Å³/cell. Its space-group type is P4/mbm, No. 127. Its magnetic moment is 0.00 μB/f.u.

The structure in extended XYZ format:
```
10
Lattice="7.1973 0.0000 0.0000 0.0000 7.1973 0.0000 0.0000 0.0000 2.8346" Properties=species:S:1:pos:R:3 pbc="T T T"
Ga 0.9744 2.6243 0.0000
Ga 2.6243 6.2229 0.0000
Ga 4.5730 0.9744 0.0000
Ga 6.2229 4.5730 0.0000
Mo 0.0000 0.0000 0.0000
Mo 3.5987 3.5987 0.0000
Rh 1.1795 4.7782 1.4173
Rh 2.4191 1.1795 1.4173
Rh 4.7782 6.0178 1.4173
Rh 6.0178 2.4191 1.4173
```

---

# 2
Here is a relaxed structure of GaMoRh from Alexandria via LeMat-Bulk. Energies are from PBE.

For the energy of formation from the pure elements, the calculation gives -0.311 eV/atom. As for the volume: 89 Å³/cell. Its space-group type is C2/m, No. 12. Its magnetic moment is 0.00 μB/f.u.

The structure in extended XYZ format:
```
6
Lattice="6.8884 -1.4837 0.0000 6.8884 1.4837 0.0000 -0.6351 0.0000 4.3465" Properties=species:S:1:pos:R:3 pbc="T T T"
Ga 0.9626 0.0000 1.2644
Ga 12.1791 0.0000 3.0821
Mo 2.9035 0.0000 3.2691
Mo 10.2382 0.0000 1.0774
Rh 5.6656 0.0000 0.8864
Rh 7.4761 0.0000 3.4601
```

---

# 3
Here is a relaxed structure of Ga4MoRh5 from Alexandria via LeMat-Bulk. Energies are from PBE.

For the energy of formation from the pure elements, the calculation gives -0.565 eV/atom. As for the volume: 141 Å³/cell. Its space-group type is P4/mmm, No. 123. Its magnetic moment is 0.00 μB/f.u.

The structure in extended XYZ format:
```
10
Lattice="2.9246 0.0000 0.0000 0.0000 2.9246 0.0000 0.0000 0.0000 16.5399" Properties=species:S:1:pos:R:3 pbc="T T T"
Ga 0.0000 0.0000 1.6098
Ga 0.0000 0.0000 4.8203
Ga 0.0000 0.0000 11.7196
Ga 0.0000 0.0000 14.9301
Mo 0.0000 0.0000 8.2699
Rh 1.4623 1.4623 0.0000
Rh 1.4623 1.4623 3.2123
Rh 1.4623 1.4623 6.4211
Rh 1.4623 1.4623 10.1188
Rh 1.4623 1.4623 13.3276
```

---

# 4
Here is a relaxed structure of GaMoRh from Alexandria via LeMat-Bulk. Energies are from PBE.

For the energy of formation from the pure elements, the calculation gives -0.313 eV/atom. As for the volume: 44 Å³/cell. Its space-group type is I4mm, No. 107. Its magnetic moment is 0.00 μB/f.u.

The structure in extended XYZ format:
```
3
Lattice="-1.4381 1.4381 5.3180 1.4381 -1.4381 5.3180 1.4381 1.4381 -5.3180" Properties=species:S:1:pos:R:3 pbc="T T T"
Ga 0.0000 0.0000 0.0000
Mo 0.0000 0.0000 7.1691
Rh 0.0000 0.0000 3.6600
```

---

# 5
Here is a relaxed structure of Ga3MoRh from Alexandria via LeMat-Bulk. Energies are from PBE.

For the energy of formation from the pure elements, the calculation gives 0.558 eV/atom. For the energy relative to the lowest polymorph listed for this composition, the calculation gives 0.0 kJ per mole of atoms. As for the volume: 104 Å³/cell. Its space-group type is Pm-3m, No. 221. Its magnetic moment is 4.00 μB/f.u.

The structure in extended XYZ format:
```
5
Lattice="4.7009 0.0000 0.0000 0.0000 4.7009 0.0000 0.0000 0.0000 4.7009" Properties=species:S:1:pos:R:3 pbc="T T T"
Ga 0.0000 0.0000 2.3505
Ga 0.0000 2.3505 0.0000
Ga 2.3505 0.0000 0.0000
Mo 2.3505 2.3505 2.3505
Rh 0.0000 0.0000 0.0000
```

---

# 6
Here is a relaxed structure of GaMoRh from Alexandria via LeMat-Bulk. Energies are from PBE.

For the energy of formation from the pure elements, the calculation gives -0.308 eV/atom. As for the volume: 89 Å³/cell. Its space-group type is P4mm, No. 99. Its magnetic moment is 0.00 μB/f.u.

The structure in extended XYZ format:
```
6
Lattice="3.1243 0.0000 0.0000 0.0000 3.1243 0.0000 0.0000 0.0000 9.1370" Properties=species:S:1:pos:R:3 pbc="T T T"
Ga 0.0000 0.0000 0.0000
Ga 0.0000 0.0000 2.9786
Mo 0.0000 0.0000 5.9551
Mo 1.5621 1.5621 4.5580
Rh 1.5621 1.5621 1.5121
Rh 1.5621 1.5621 7.7134
```

---

# 7
Here is a relaxed structure of GaMoRuRh from Alexandria via LeMat-Bulk. Energies are from PBE.

For the energy of formation from the pure elements, the calculation gives -0.117 eV/atom. As for the volume: 59 Å³/cell. Its space-group type is F-43m, No. 216. Its magnetic moment is 1.50 μB/f.u.

The structure in extended XYZ format:
```
4
Lattice="0.0000 3.0889 3.0889 3.0889 0.0000 3.0889 3.0889 3.0889 0.0000" Properties=species:S:1:pos:R:3 pbc="T T T"
Ga 0.0000 0.0000 0.0000
Mo 3.0889 3.0889 3.0889
Ru 4.6334 4.6334 4.6334
Rh 1.5445 1.5445 1.5445
```

---

# 8
Here is a relaxed structure of GaTcMoRh from Alexandria via LeMat-Bulk. Energies are from PBE.

For the energy of formation from the pure elements, the calculation gives -0.155 eV/atom. As for the volume: 59 Å³/cell. Its space-group type is F-43m, No. 216. Its magnetic moment is 0.64 μB/f.u.

The structure in extended XYZ format:
```
4
Lattice="0.0000 3.0912 3.0912 3.0912 0.0000 3.0912 3.0912 3.0912 0.0000" Properties=species:S:1:pos:R:3 pbc="T T T"
Ga 0.0000 0.0000 0.0000
Tc 4.6368 4.6368 4.6368
Mo 3.0912 3.0912 3.0912
Rh 1.5456 1.5456 1.5456
```

---

# 9
Here is a relaxed structure of Tl2GaMoRh from Alexandria via LeMat-Bulk. Energies are from PBE.

For the energy of formation from the pure elements, the calculation gives 1.190 eV/atom. As for the volume: 126 Å³/cell. Its space-group type is P4/mmm, No. 123. Its magnetic moment is 3.68 μB/f.u.

The structure in extended XYZ format:
```
5
Lattice="5.2040 0.0000 0.0000 0.0000 5.2040 0.0000 0.0000 0.0000 4.6469" Properties=species:S:1:pos:R:3 pbc="T T T"
Tl 0.0000 2.6020 0.0000
Tl 2.6020 0.0000 0.0000
Ga 0.0000 0.0000 0.0000
Mo 2.6020 2.6020 2.3235
Rh 0.0000 0.0000 2.3235
```

---

# 10
Here is a relaxed structure of VGaMoRh from Alexandria via LeMat-Bulk. Energies are from PBE.

For the energy of formation from the pure elements, the calculation gives -0.256 eV/atom. As for the volume: 57 Å³/cell. Its space-group type is F-43m, No. 216. Its magnetic moment is 0.00 μB/f.u.

The structure in extended XYZ format:
```
4
Lattice="0.0000 3.0633 3.0633 3.0633 0.0000 3.0633 3.0633 3.0633 0.0000" Properties=species:S:1:pos:R:3 pbc="T T T"
V 0.0000 0.0000 0.0000
Ga 3.0633 3.0633 3.0633
Mo 1.5316 1.5316 1.5316
Rh 4.5949 4.5949 4.5949
```

---

# 11
Here is a relaxed structure of V2GaMoRh from Alexandria via LeMat-Bulk. Energies are from PBE.

For the energy of formation from the pure elements, the calculation gives 1.107 eV/atom. As for the volume: 92 Å³/cell. Its space-group type is P4/mmm, No. 123. Its magnetic moment is 0.00 μB/f.u.

The structure in extended XYZ format:
```
5
Lattice="4.5077 0.0000 0.0000 0.0000 4.5077 0.0000 0.0000 0.0000 4.5195" Properties=species:S:1:pos:R:3 pbc="T T T"
V 0.0000 2.2539 0.0000
V 2.2539 0.0000 0.0000
Ga 0.0000 0.0000 2.2598
Mo 2.2539 2.2539 2.2598
Rh 0.0000 0.0000 0.0000
```

---

# 12
Here is a relaxed structure of Ga2MoRu2 from Alexandria via LeMat-Bulk. Energies are from PBE.

For the energy of formation from the pure elements, the calculation gives -0.130 eV/atom. As for the volume: 77 Å³/cell. Its space-group type is Cmmm, No. 65. Its magnetic moment is 0.00 μB/f.u.

The structure in extended XYZ format:
```
5
Lattice="1.4277 -9.2302 0.0000 1.4277 9.2302 0.0000 0.0000 0.0000 2.9372" Properties=species:S:1:pos:R:3 pbc="T T T"
Ga 1.4277 5.8228 0.0000
Ga 1.4277 -5.8228 0.0000
Mo 0.0000 0.0000 0.0000
Ru 1.4277 1.7654 1.4686
Ru 1.4277 -1.7654 1.4686
```